a.
Density functional theory data (GGA-PBE) for a relaxed ScTlTc3 crystal.

The space group is Pm-3m (No. 221) and the conventional cell measures 4.9448, 4.9448 and 4.9448 Å, with angles of 90.00, 90.00 and 90.00 degrees. The asymmetric unit holds Sc at (0.0000, 0.0000, 0.0000), Tl at (0.5000, 0.5000, 0.5000) and Tc at (0.0000, 0.5000, 0.5000).

The calculation puts the total moment at 4.37 Bohr magnetons per cell.


b.
Density functional theory data (GGA-PBE) for a relaxed ScTlTc3 crystal.

The space group is Pm-3m (No. 221) and the conventional cell measures 4.6767, 4.6767 and 4.6767 Å, with angles of 90.00, 90.00 and 90.00 degrees. The asymmetric unit holds Sc at (0.0000, 0.0000, 0.0000), Tl at (0.5000, 0.5000, 0.5000) and Tc at (0.0000, 0.0000, 0.5000).

The calculation puts the total moment at 3.10 Bohr magnetons per cell.


Stability order, top to bottom: b, a


a.
Density functional theory data (GGA-PBE) for a relaxed TmSc3Tc crystal.

The space group is C2/m (No. 12) and the conventional cell measures 11.1031, 8.0864 and 7.3514 Å, with angles of 90.00, 131.15 and 90.00 degrees. The asymmetric unit holds Tm at (0.0539, 0.0000, 0.2747), Sc at (0.0583, 0.5000, 0.3601), Sc at (0.2333, 0.3056, 0.1850) and Tc at (0.2437, 0.5000, 0.8711).

The calculation puts the total moment at 1.20 Bohr magnetons per cell.


b.
Density functional theory data (GGA-PBE) for a relaxed TmSc3Tc crystal.

The space group is Pmmn (No. 59, origin choice 2) and the conventional cell measures 4.1952, 8.0031 and 7.1215 Å, with angles of 90.00, 90.00 and 90.00 degrees. The asymmetric unit holds Tm at (0.2500, 0.2500, 0.0505), Sc at (0.2500, 0.5516, 0.6753), Sc at (0.2500, 0.7500, 0.2953) and Tc at (0.2500, 0.2500, 0.4642).

The calculation puts the total moment at 0.00 Bohr magnetons per cell.


c.
Density functional theory data (GGA-PBE) for a relaxed TmSc3Tc crystal.

The space group is Pm-3m (No. 221) and the conventional cell measures 5.0522, 5.0522 and 5.0522 Å, with angles of 90.00, 90.00 and 90.00 degrees. The asymmetric unit holds Tm at (0.0000, 0.0000, 0.0000), Sc at (0.0000, 0.5000, 0.5000) and Tc at (0.5000, 0.5000, 0.5000).

The calculation puts the total moment at 0.00 Bohr magnetons per cell.


Stability order, top to bottom: b, a, c


a.
Density functional theory data (GGA-PBE) for a relaxed Sc2TcW crystal.

The space group is Imm2 (No. 44) and the conventional cell measures 3.2663, 4.7603 and 9.5719 Å, with angles of 90.00, 90.00 and 90.00 degrees. The asymmetric unit holds Sc at (0.0000, 0.0000, 0.0000), Sc at (0.0000, 0.5000, 0.2225), Tc at (0.0000, 0.5000, 0.7498) and W at (0.0000, 0.0000, 0.4469).

The calculation puts the total moment at 0.00 Bohr magnetons per cell.


b.
Density functional theory data (GGA-PBE) for a relaxed Sc2TcW crystal.

The space group is R-3m (No. 166, hexagonal axes) and the conventional cell measures 2.9685, 2.9685 and 29.2418 Å, with angles of 90.00, 90.00 and 120.00 degrees. The asymmetric unit holds Sc at (0.0000, 0.0000, 0.0941), Tc at (0.0000, 0.0000, 0.5000) and W at (0.0000, 0.0000, 0.0000).

The calculation puts the total moment at 1.63 Bohr magnetons per cell.


Stability order, top to bottom: a, b


a.
Density functional theory data (GGA-PBE) for a relaxed ScTcW crystal.

The space group is P3m1 (No. 156) and the conventional cell measures 4.4723, 4.4723 and 2.8996 Å, with angles of 90.00, 90.00 and 120.00 degrees. The asymmetric unit holds Sc at (0.0000, 0.0000, 0.0000), Tc at (0.6667, 0.3333, 0.3431) and W at (0.3333, 0.6667, 0.6052).

The calculation puts the total moment at 0.00 Bohr magnetons per cell.


b.
Density functional theory data (GGA-PBE) for a relaxed ScTcW crystal.

The space group is Imm2 (No. 44) and the conventional cell measures 2.8239, 4.5480 and 7.9220 Å, with angles of 90.00, 90.00 and 90.00 degrees. The asymmetric unit holds Sc at (0.0000, 0.0000, 0.0000), Tc at (0.0000, 0.0000, 0.3352) and W at (0.0000, 0.0000, 0.6599).

The calculation puts the total moment at 0.00 Bohr magnetons per cell.


c.
Density functional theory data (GGA-PBE) for a relaxed ScTcW crystal.

The space group is Amm2 (No. 38) and the conventional cell measures 8.5316, 5.3972 and 9.2787 Å, with angles of 90.00, 90.00 and 90.00 degrees. The asymmetric unit holds Sc at (0.1841, 0.0000, 0.0000), Sc at (0.3084, 0.0000, 0.6662), Tc at (0.0000, 0.0000, 0.5076), Tc at (0.0000, 0.2414, 0.7473), Tc at (0.5000, 0.0000, 0.1623), W at (0.2424, 0.0000, 0.3322) and W at (0.5000, 0.2456, 0.9191).

The calculation puts the total moment at 0.00 Bohr magnetons per cell.


Stability order, top to bottom: c, a, b


a.
Density functional theory data (GGA-PBE) for a relaxed ScTcW crystal.

The space group is Imma (No. 74) and the conventional cell measures 5.3488, 5.3702 and 7.4471 Å, with angles of 90.00, 90.00 and 90.00 degrees. The asymmetric unit holds Sc at (0.0000, 0.2500, 0.1230), Tc at (0.2500, 0.2500, 0.7500) and W at (0.0000, 0.0000, 0.5000).

The calculation puts the total moment at 0.00 Bohr magnetons per cell.


b.
Density functional theory data (GGA-PBE) for a relaxed ScTcW crystal.

The space group is Fmm2 (No. 42) and the conventional cell measures 3.2009, 4.6524 and 13.6176 Å, with angles of 90.00, 90.00 and 90.00 degrees. The asymmetric unit holds Sc at (0.0000, 0.0000, 0.0000), Tc at (0.0000, 0.0000, 0.3324) and W at (0.0000, 0.0000, 0.6804).

The calculation puts the total moment at 0.00 Bohr magnetons per cell.


c.
Density functional theory data (GGA-PBE) for a relaxed ScTcW crystal.

The space group is I4mm (No. 107) and the conventional cell measures 3.1572, 3.1572 and 10.2085 Å, with angles of 90.00, 90.00 and 90.00 degrees. The asymmetric unit holds Sc at (0.0000, 0.0000, 0.0000), Tc at (0.0000, 0.0000, 0.6768) and W at (0.0000, 0.0000, 0.3137).

The calculation puts the total moment at 0.00 Bohr magnetons per cell.


Stability order, top to bottom: a, c, b


a.
Density functional theory data (GGA-PBE) for a relaxed ScTcW2 crystal.

The space group is Imm2 (No. 44) and the conventional cell measures 3.1905, 4.6253 and 8.9627 Å, with angles of 90.00, 90.00 and 90.00 degrees. The asymmetric unit holds Sc at (0.0000, 0.0000, 0.0000), Tc at (0.0000, 0.5000, 0.2439), W at (0.0000, 0.0000, 0.5068) and W at (0.0000, 0.5000, 0.7676).

The calculation puts the total moment at 0.00 Bohr magnetons per cell.


b.
Density functional theory data (GGA-PBE) for a relaxed ScTcW2 crystal.

The space group is Pmmm (No. 47) and the conventional cell measures 2.7715, 4.5802 and 5.2859 Å, with angles of 90.00, 90.00 and 90.00 degrees. The asymmetric unit holds Sc at (0.0000, 0.0000, 0.0000), Tc at (0.0000, 0.0000, 0.5000) and W at (0.5000, 0.5000, 0.2510).

The calculation puts the total moment at 0.00 Bohr magnetons per cell.


c.
Density functional theory data (GGA-PBE) for a relaxed ScTcW2 crystal.

The space group is F-43m (No. 216) and the conventional cell measures 6.3971, 6.3971 and 6.3971 Å, with angles of 90.00, 90.00 and 90.00 degrees. The asymmetric unit holds Sc at (0.0000, 0.0000, 0.0000), Tc at (0.2500, 0.2500, 0.2500), W at (0.0000, 0.0000, 0.5000) and W at (0.2500, 0.2500, 0.7500).

The calculation puts the total moment at 0.00 Bohr magnetons per cell.


Stability order, top to bottom: c, a, b